Density functional theory data (PBE-GGA) for a relaxed structure of LiMg2ReAg.

It has space group P4/mmm (No. 123), with a = 4.999 Å, b = 4.999 Å, c = 5.110 Å, α = 90.00°, β = 90.00° and γ = 90.00°. The asymmetric unit holds Li at (0.000, 0.000, 0.000), Mg at (0.000, 0.500, 0.500), Re at (0.500, 0.500, 0.000) and Ag at (0.500, 0.500, 0.500).

As for the density of states at the Fermi level: 3.5 states/eV/f.u. The energy of formation from the pure elements comes out at 1.077 eV/atom. The value obtained for the total energy is -0.11036 Ha/atom. The calculation puts the volume at 25.54 Å³ per atom. The calculation puts the size of the total moment at 2.72 μB/cell.